Entry 1:
Density functional theory data (PBE) for a relaxed structure of Y2Al2GeRh5.

```
data_Y2Al2GeRh5
_chemical_formula_sum 'Y4 Al4 Ge2 Rh10'
_cell_length_a 9.8564
_cell_length_b 9.8564
_cell_length_c 3.4432
_cell_angle_alpha 90.00
_cell_angle_beta 90.00
_cell_angle_gamma 90.00
_symmetry_space_group_name_H-M 'P 4/m b m'
_symmetry_Int_Tables_number 127
_symmetry_space_group_name_Hall '-P 4 2ab'
loop_
_atom_site_label
_atom_site_fract_x
_atom_site_fract_y
_atom_site_fract_z
Y1 0.1743 0.3257 0.0000
Al1 0.1241 0.6241 0.0000
Ge1 0.0000 0.0000 0.0000
Rh1 0.0000 0.5000 0.5000
Rh2 0.0661 0.7983 0.5000
```

Summary:
density of states at the Fermi level: 3.2 states/eV/f.u.
ΔE_f: -0.836 eV per atom
energy: -7.01 eV per atom

---

Entry 2:
Density functional theory data (PBE) for a relaxed structure of YAlGeRh2.

```
data_YAlGeRh2
_chemical_formula_sum 'Y1 Al1 Ge1 Rh2'
_cell_length_a 4.5500
_cell_length_b 4.5500
_cell_length_c 4.7572
_cell_angle_alpha 90.00
_cell_angle_beta 90.00
_cell_angle_gamma 90.00
_symmetry_space_group_name_H-M 'P 4/m m m'
_symmetry_Int_Tables_number 123
_symmetry_space_group_name_Hall '-P 4 2'
loop_
_atom_site_label
_atom_site_fract_x
_atom_site_fract_y
_atom_site_fract_z
Y1 0.0000 0.0000 0.0000
Al1 0.5000 0.5000 0.5000
Ge1 0.5000 0.5000 0.0000
Rh1 0.0000 0.5000 0.5000
```

Summary:
density of states at the Fermi level: 4.7 states/eV/f.u.
ΔE_f: -0.123 eV per atom
energy: -6.03 eV per atom

---

Entry 3:
Density functional theory data (PBE) for a relaxed structure of YAlGe2Rh.

```
data_YAlGe2Rh
_chemical_formula_sum 'Y1 Al1 Ge2 Rh1'
_cell_length_a 4.8109
_cell_length_b 4.8109
_cell_length_c 4.6820
_cell_angle_alpha 90.00
_cell_angle_beta 90.00
_cell_angle_gamma 90.00
_symmetry_space_group_name_H-M 'P 4/m m m'
_symmetry_Int_Tables_number 123
_symmetry_space_group_name_Hall '-P 4 2'
loop_
_atom_site_label
_atom_site_fract_x
_atom_site_fract_y
_atom_site_fract_z
Y1 0.0000 0.0000 0.0000
Al1 0.5000 0.5000 0.0000
Ge1 0.0000 0.5000 0.5000
Rh1 0.5000 0.5000 0.5000
```

Summary:
density of states at the Fermi level: 3.1 states/eV/f.u.
ΔE_f: -0.150 eV per atom
energy: -5.51 eV per atom

---

Entry 4:
Density functional theory data (PBE) for a relaxed structure of AlZnGeRh2.

```
data_AlZnGeRh2
_chemical_formula_sum 'Al1 Zn1 Ge1 Rh2'
_cell_length_a 4.6091
_cell_length_b 4.6091
_cell_length_c 4.3863
_cell_angle_alpha 90.00
_cell_angle_beta 90.00
_cell_angle_gamma 90.00
_symmetry_space_group_name_H-M 'P 4/m m m'
_symmetry_Int_Tables_number 123
_symmetry_space_group_name_Hall '-P 4 2'
loop_
_atom_site_label
_atom_site_fract_x
_atom_site_fract_y
_atom_site_fract_z
Al1 0.0000 0.0000 0.0000
Zn1 0.0000 0.0000 0.5000
Ge1 0.5000 0.5000 0.0000
Rh1 0.0000 0.5000 0.5000
```

Summary:
density of states at the Fermi level: 5.6 states/eV/f.u.
ΔE_f: 0.667 eV per atom
energy: -4.20 eV per atom

---

Entry 5:
Density functional theory data (PBE) for a relaxed structure of AlGe4Ru5.

```
data_AlGe4Ru5
_chemical_formula_sum 'Al1 Ge4 Ru5'
_cell_length_a 3.0329
_cell_length_b 3.0329
_cell_length_c 15.1139
_cell_angle_alpha 90.00
_cell_angle_beta 90.00
_cell_angle_gamma 90.00
_symmetry_space_group_name_H-M 'P 4/m m m'
_symmetry_Int_Tables_number 123
_symmetry_space_group_name_Hall '-P 4 2'
loop_
_atom_site_label
_atom_site_fract_x
_atom_site_fract_y
_atom_site_fract_z
Al1 0.0000 0.0000 0.0000
Ge1 0.0000 0.0000 0.1952
Ge2 0.0000 0.0000 0.3986
Ru1 0.5000 0.5000 0.1018
Ru2 0.5000 0.5000 0.3002
Ru3 0.5000 0.5000 0.5000
```

Summary:
density of states at the Fermi level: 3.9 states/eV/f.u.
ΔE_f: -0.359 eV per atom
energy: -7.22 eV per atom

---

Entry 6:
Density functional theory data (PBE) for a relaxed structure of AlGeRu2.

```
data_AlGeRu2
_chemical_formula_sum 'Al4 Ge4 Ru8'
_cell_length_a 6.0305
_cell_length_b 6.0305
_cell_length_c 6.0305
_cell_angle_alpha 90.00
_cell_angle_beta 90.00
_cell_angle_gamma 90.00
_symmetry_space_group_name_H-M 'F m -3 m'
_symmetry_Int_Tables_number 225
_symmetry_space_group_name_Hall '-F 4 2 3'
loop_
_atom_site_label
_atom_site_fract_x
_atom_site_fract_y
_atom_site_fract_z
Al1 0.0000 0.0000 0.0000
Ge1 0.0000 0.0000 0.5000
Ru1 0.2500 0.2500 0.2500
```

Summary:
polymorph energy (0 for the lowest one): 1 meV/atom
density of states at the Fermi level: 2.3 states/eV/f.u.
ΔE_f: -0.493 eV per atom
energy: -7.22 eV per atom